This record from the Alexandria database describes a relaxed structure of Rb2PmSnS4. The functional is PBE.

```
data_Rb2PmSnS4
_cell_length_a 7.205
_cell_length_b 4.132
_cell_length_c 8.044
_cell_angle_alpha 90.00
_cell_angle_beta 107.12
_cell_angle_gamma 90.00
_symmetry_space_group_name_H-M 'P 1 2/m 1'
_symmetry_Int_Tables_number 10
loop_
_symmetry_equiv_pos_as_xyz
'x,y,z'
'-x,-y,-z'
'-x,y,-z'
'x,-y,z'
loop_
_atom_site_label
_atom_site_type_symbol
_atom_site_fract_x
_atom_site_fract_y
_atom_site_fract_z
Rb1 Rb 0.000 0.000 0.000
Rb2 Rb 0.500 0.500 0.000
Pm1 Pm 0.000 0.500 0.500
Sn1 Sn 0.500 0.000 0.500
S1 S 0.237 0.000 0.695
S2 S 0.273 0.500 0.308
```

## Properties
* calculated volume: 28.6 A^3/atom
* raw total energy: -37.22 eV/cell
* magnetization: 0.000 μB per atom
* energy relative to the elements, uncorrected: -1.25 eV per atom

=====

This record from the Alexandria database describes a relaxed structure of Sc2TaH. The functional is PBE.

```
data_Sc2TaH
_cell_length_a 2.957
_cell_length_b 2.957
_cell_length_c 7.527
_cell_angle_alpha 90.00
_cell_angle_beta 90.00
_cell_angle_gamma 90.00
_symmetry_space_group_name_H-M 'P 4/m m m'
_symmetry_Int_Tables_number 123
_symmetry_space_group_name_Hall '-P 4 2'
loop_
_atom_site_label
_atom_site_type_symbol
_atom_site_fract_x
_atom_site_fract_y
_atom_site_fract_z
Sc1 Sc 0.000 0.000 0.206
Ta1 Ta 0.500 0.500 0.500
H1 H 0.500 0.500 0.000
```

## Properties
* calculated volume: 16.4 A^3/atom
* raw total energy: -27.36 eV/cell
* polymorph energy (0 for the lowest one): 0.000 eV per formula unit
* magnetization: 0.000 μB per atom

=====

This record from the Alexandria database describes a relaxed structure of Ta2V9Os. The functional is PBE.

```
data_Ta2V9Os
_cell_length_a 4.9985
_cell_length_b 4.9985
_cell_length_c 24.3508
_cell_angle_alpha 90.00
_cell_angle_beta 90.00
_cell_angle_gamma 120.00
_symmetry_space_group_name_H-M 'R -3 m'
_symmetry_Int_Tables_number 166
_symmetry_space_group_name_Hall '-R 3 2"'
loop_
_atom_site_label
_atom_site_type_symbol
_atom_site_fract_x
_atom_site_fract_y
_atom_site_fract_z
Ta1 Ta 0.0000 0.0000 0.1443
V1 V 0.0000 0.0000 0.3326
V2 V 0.0000 0.0000 0.5000
V3 V 0.0016 0.5008 0.9166
Os1 Os 0.0000 0.0000 0.0000
```

## Properties
* calculated volume: 14.6 A^3/atom
* energy relative to the elements: 188.6 meV per atom
* raw total energy: -344.22 eV/cell
* magnetization: 0.000 μB per atom

=====

This record from the Alexandria database describes a relaxed structure of Zr2CrSb2. The functional is PBE.

```
data_Zr2CrSb2
_cell_length_a 7.535
_cell_length_b 7.535
_cell_length_c 3.918
_cell_angle_alpha 90.00
_cell_angle_beta 90.00
_cell_angle_gamma 90.00
_symmetry_space_group_name_H-M 'P 4/m b m'
_symmetry_Int_Tables_number 127
_symmetry_space_group_name_Hall '-P 4 2ab'
loop_
_atom_site_label
_atom_site_type_symbol
_atom_site_fract_x
_atom_site_fract_y
_atom_site_fract_z
Zr1 Zr 0.151 0.349 0.000
Cr1 Cr 0.000 0.000 0.500
Sb1 Sb 0.151 0.651 0.500
```

## Properties
* calculated volume: 22.2 A^3/atom
* raw total energy: -72.52 eV/cell
* magnetization: 0.700 μB per atom
* energy relative to the elements, uncorrected: -0.26 eV per atom

=====

This record from the Alexandria database describes a relaxed structure of BaSc2GeF. The functional is PBE.

```
data_BaSc2GeF
_cell_length_a 4.975
_cell_length_b 4.975
_cell_length_c 7.343
_cell_angle_alpha 90.00
_cell_angle_beta 90.00
_cell_angle_gamma 90.00
_symmetry_space_group_name_H-M 'P 4/m m m'
_symmetry_Int_Tables_number 123
_symmetry_space_group_name_Hall '-P 4 2'
loop_
_atom_site_label
_atom_site_type_symbol
_atom_site_fract_x
_atom_site_fract_y
_atom_site_fract_z
Ba1 Ba 0.000 0.000 0.000
Sc1 Sc 0.000 0.500 0.500
Ge1 Ge 0.500 0.500 0.500
F1 F 0.500 0.500 0.000
```

## Properties
* calculated volume: 36.3 A^3/atom
* raw total energy: -23.37 eV/cell
* magnetization: 0.000 μB per atom
* energy relative to the elements, uncorrected: -0.46 eV per atom

=====

This record from the Alexandria database describes a relaxed structure of Ca2NbAg2. The functional is PBE.

```
data_Ca2NbAg2
_cell_length_a 4.654
_cell_length_b 4.654
_cell_length_c 12.469
_cell_angle_alpha 90.00
_cell_angle_beta 90.00
_cell_angle_gamma 90.00
_symmetry_space_group_name_H-M 'I 4/m m m'
_symmetry_Int_Tables_number 139
_symmetry_space_group_name_Hall '-I 4 2'
loop_
_atom_site_label
_atom_site_type_symbol
_atom_site_fract_x
_atom_site_fract_y
_atom_site_fract_z
Ca1 Ca 0.000 0.500 0.250
Nb1 Nb 0.000 0.000 0.000
Ag1 Ag 0.000 0.000 0.397
```

## Properties
* calculated volume: 27.0 A^3/atom
* energy relative to the elements: 662.3 meV per atom
* raw total energy: -32.93 eV/cell
* polymorph energy (0 for the lowest one): 2.228 eV per formula unit
* magnetization: 0.712 μB per atom